[1]
# CaPCl2F

Crystalline CaPCl2F at its relaxed geometry (PBE, Alexandria via LeMat-Bulk).

Computed properties:
**Energy relative to the elements, uncorrected**: -371 meV/atom
**DOS(E_F)**: 9.85 states/eV/cell
**Relative energy among the computed polymorphs**: 0.528 eV per atom
**Total magnetic moment**: 0.0 μB/f.u.

Cell lengths 5.104, 5.104, 6.055 Å; angles 90.00, 90.00, 90.00 degrees
Sites, in units of the cell vectors:
Ca 0.000 0.000 0.000
P 0.000 0.000 0.500
Cl 0.000 0.500 0.000
Cl 0.500 0.000 0.000
F 0.500 0.500 0.500

[2]
# KNd2Dy

Crystalline KNd2Dy at its relaxed geometry (PBE, Alexandria via LeMat-Bulk).

Computed properties:
**DOS(E_F)**: 4.57 states/eV/cell
**Energy of formation**: 4.39 kcal/mol of atoms
**Total magnetic moment**: 0.0 μB/f.u.

Cell lengths 13.598, 13.598, 13.598 Å; angles 15.46, 15.46, 15.46 degrees
Sites, in units of the cell vectors:
K 0.000 0.000 0.000
Nd 0.096 0.096 0.096
Nd 0.904 0.904 0.904
Dy 0.500 0.500 0.500

[3]
# La2Te

Crystalline La2Te at its relaxed geometry (PBE, Alexandria via LeMat-Bulk).

Computed properties:
**Energy relative to the elements, uncorrected**: -1047 meV/atom
**DOS(E_F)**: 6.58 states/eV/cell
**Total magnetic moment**: 0.0 μB/f.u.

Cell lengths 9.586, 9.586, 9.586 Å; angles 152.12, 152.12, 39.84 degrees
Sites, in units of the cell vectors:
La 0.000 0.500 0.500
La 0.178 0.178 0.000
La 0.500 0.000 0.500
La 0.822 0.822 0.000
Te 0.361 0.361 0.000
Te 0.639 0.639 0.000

[4]
# CsInI2

Crystalline CsInI2 at its relaxed geometry (PBE, Alexandria via LeMat-Bulk).

Computed properties:
**Energy relative to the elements, uncorrected**: -973 meV/atom
**DOS(E_F)**: 0.00 states/eV/cell
**Relative energy among the computed polymorphs**: 0.015 eV per atom
**Total magnetic moment**: 0.0 μB/f.u.

Cell lengths 9.354, 9.354, 9.354 Å; angles 32.08, 32.08, 32.08 degrees
Sites, in units of the cell vectors:
Cs 0.000 0.000 0.000
In 0.168 0.168 0.168
I 0.574 0.574 0.574
I 0.760 0.760 0.760

[5]
# TlAg3Hg

Crystalline TlAg3Hg at its relaxed geometry (PBE, Alexandria via LeMat-Bulk).

Computed properties:
**DOS(E_F)**: 1.69 states/eV/cell
**Energy of formation**: 10.85 kcal/mol of atoms
**Relative energy among the computed polymorphs**: 0.000 eV per atom
**Total magnetic moment**: 0.0 μB/f.u.

Cell lengths 5.309, 5.309, 5.309 Å; angles 90.00, 90.00, 90.00 degrees
Sites, in units of the cell vectors:
Tl 0.000 0.000 0.000
Ag 0.000 0.500 0.500
Ag 0.500 0.000 0.500
Ag 0.500 0.500 0.000
Hg 0.500 0.500 0.500

[6]
# MgAl2F

Crystalline MgAl2F at its relaxed geometry (PBE, Alexandria via LeMat-Bulk).

Computed properties:
**Energy relative to the elements, uncorrected**: -241 meV/atom
**DOS(E_F)**: 2.90 states/eV/cell
**Relative energy among the computed polymorphs**: 0.221 eV per atom
**Total magnetic moment**: 0.0 μB/f.u.

Cell lengths 4.687, 4.687, 4.687 Å; angles 60.00, 60.00, 60.00 degrees
Sites, in units of the cell vectors:
Mg 0.000 0.000 0.000
Al 0.250 0.250 0.250
Al 0.750 0.750 0.750
F 0.500 0.500 0.500

[7]
# SmNi2Sb2

Crystalline SmNi2Sb2 at its relaxed geometry (PBE, Alexandria via LeMat-Bulk).

Computed properties:
**Energy relative to the elements, uncorrected**: -619 meV/atom
**DOS(E_F)**: 5.58 states/eV/cell
**Total magnetic moment**: 0.0 μB/f.u.

Cell lengths 4.457, 4.457, 10.012 Å; angles 90.00, 90.00, 90.00 degrees
Sites, in units of the cell vectors:
Sm 0.250 0.250 0.238
Sm 0.750 0.750 0.762
Ni 0.250 0.250 0.625
Ni 0.250 0.750 0.000
Ni 0.750 0.250 0.000
Ni 0.750 0.750 0.375
Sb 0.250 0.250 0.874
Sb 0.250 0.750 0.500
Sb 0.750 0.250 0.500
Sb 0.750 0.750 0.126

[8]
# H2IrRu2

Crystalline H2IrRu2 at its relaxed geometry (PBE, Alexandria via LeMat-Bulk).

Computed properties:
**DOS(E_F)**: 9.50 states/eV/cell
**Relative energy among the computed polymorphs**: 0.426 eV per atom
**Total magnetic moment**: 0.0 μB/f.u.

Cell lengths 6.509, 6.509, 2.622 Å; angles 90.00, 90.00, 90.00 degrees
Sites, in units of the cell vectors:
H 0.096 0.404 0.000
H 0.404 0.904 0.000
H 0.596 0.096 0.000
H 0.904 0.596 0.000
Ir 0.000 0.000 0.500
Ir 0.500 0.500 0.500
Ru 0.133 0.633 0.500
Ru 0.367 0.133 0.500
Ru 0.633 0.867 0.500
Ru 0.867 0.367 0.500

[9]
# Li2CaFe

Crystalline Li2CaFe at its relaxed geometry (PBE, Alexandria via LeMat-Bulk).

Computed properties:
**DOS(E_F)**: 3.76 states/eV/cell
**Energy of formation**: 9.69 kcal/mol of atoms
**Relative energy among the computed polymorphs**: 0.069 eV per atom
**Total magnetic moment**: 2.5 μB/f.u.

Cell lengths 3.428, 3.428, 6.849 Å; angles 90.00, 90.00, 90.00 degrees
Sites, in units of the cell vectors:
Li 0.000 0.000 0.184
Li 0.000 0.000 0.816
Ca 0.500 0.500 0.500
Fe 0.500 0.500 0.000

[10]
# MgTiNb3

Crystalline MgTiNb3 at its relaxed geometry (PBE, Alexandria via LeMat-Bulk).

Computed properties:
**DOS(E_F)**: 6.26 states/eV/cell
**Energy of formation**: 24.34 kcal/mol of atoms
**Relative energy among the computed polymorphs**: 0.000 eV per atom
**Total magnetic moment**: 0.0 μB/f.u.

Cell lengths 4.753, 4.753, 4.753 Å; angles 90.00, 90.00, 90.00 degrees
Sites, in units of the cell vectors:
Mg 0.000 0.000 0.000
Ti 0.500 0.500 0.500
Nb 0.000 0.500 0.500
Nb 0.500 0.000 0.500
Nb 0.500 0.500 0.000

[11]
# ZnAgSe2Br

Crystalline ZnAgSe2Br at its relaxed geometry (PBE, Alexandria via LeMat-Bulk).

Computed properties:
**Energy relative to the elements, uncorrected**: 511 meV/atom
**DOS(E_F)**: 4.30 states/eV/cell
**Relative energy among the computed polymorphs**: 0.243 eV per atom
**Total magnetic moment**: 0.0 μB/f.u.

Cell lengths 5.137, 5.137, 5.192 Å; angles 90.00, 90.00, 90.00 degrees
Sites, in units of the cell vectors:
Zn 0.000 0.000 0.000
Ag 0.500 0.500 0.500
Se 0.000 0.500 0.500
Se 0.500 0.000 0.500
Br 0.500 0.500 0.000

[12]
# Li2Ho2Tl3

Crystalline Li2Ho2Tl3 at its relaxed geometry (PBE, Alexandria via LeMat-Bulk).

Computed properties:
**DOS(E_F)**: 4.45 states/eV/cell
**Energy of formation**: -5.37 kcal/mol of atoms
**Total magnetic moment**: 0.0 μB/f.u.

Cell lengths 12.844, 12.844, 3.512 Å; angles 90.00, 90.00, 163.09 degrees
Sites, in units of the cell vectors:
Li 0.213 0.787 0.000
Li 0.787 0.213 0.000
Ho 0.080 0.920 0.000
Ho 0.920 0.080 0.000
Tl 0.338 0.662 0.500
Tl 0.500 0.500 0.500
Tl 0.662 0.338 0.500